A.
The following is a GGA-PBE calculation of a relaxed SrTaOs crystal, from Alexandria via LeMat-Bulk.

Computed properties:
Space group: F-43m (216)

Lattice parameters (Å, degrees): 4.6447 4.6447 4.6447 60.00 60.00 60.00
Element x y z (fractional)
Os  0.7500  0.7500  0.7500
Ta  0.5000  0.5000  0.5000
Sr  0.0000  0.0000  0.0000

B.
The following is a GGA-PBE calculation of a relaxed SrTaOs crystal, from Alexandria via LeMat-Bulk.

Computed properties:
Space group: P-6m2 (187)

Lattice parameters (Å, degrees): 4.2399 4.2399 5.3001 90.00 90.00 120.00
Element x y z (fractional)
Sr  0.6667  0.3333  0.3332
Ta  0.3333  0.6667  0.8331
Os  0.0000  0.0000  0.8337

Most stable: B. Least stable: A.

A.
The following is a GGA-PBE calculation of a relaxed SrTaOs crystal, from Alexandria via LeMat-Bulk.

Computed properties:
Space group: Imm2 (44)

Lattice parameters (Å, degrees): 6.7340 6.7340 6.7340 151.74 150.10 41.61
Element x y z (fractional)
Sr  0.3434  0.3434  0.0000
Os  0.0380  0.0380  0.0000
Ta  0.6186  0.6186  0.0000

B.
The following is a GGA-PBE calculation of a relaxed SrTaOs crystal, from Alexandria via LeMat-Bulk.

Computed properties:
Space group: F-43m (216)

Lattice parameters (Å, degrees): 4.6060 4.6060 4.6060 60.00 60.00 60.00
Element x y z (fractional)
Os  0.5000  0.5000  0.5000
Ta  0.0000  0.0000  0.0000
Sr  0.7500  0.7500  0.7500

Most stable: A. Least stable: B.

A.
The following is a GGA-PBE calculation of a relaxed SrTa3Os crystal, from Alexandria via LeMat-Bulk.

Computed properties:
Space group: Pm-3m (221)

Lattice parameters (Å, degrees): 4.9836 4.9836 4.9836 90.00 90.00 90.00
Element x y z (fractional)
Ta  0.0000  0.0000  0.5000
Ta  0.5000  0.0000  0.0000
Ta  0.0000  0.5000  0.0000
Sr  0.5000  0.5000  0.5000
Os  0.0000  0.0000  0.0000

B.
The following is a GGA-PBE calculation of a relaxed SrTa3Os crystal, from Alexandria via LeMat-Bulk.

Computed properties:
Space group: Pm-3m (221)

Lattice parameters (Å, degrees): 4.7193 4.7193 4.7193 90.00 90.00 90.00
Element x y z (fractional)
Ta  0.0000  0.0000  0.5000
Ta  0.5000  0.0000  0.0000
Ta  0.0000  0.5000  0.0000
Os  0.5000  0.5000  0.5000
Sr  0.0000  0.0000  0.0000

Most stable: A. Least stable: B.

A.
The following is a GGA-PBE calculation of a relaxed SrTcOs3 crystal, from Alexandria via LeMat-Bulk.

Computed properties:
Space group: Pm-3m (221)

Lattice parameters (Å, degrees): 4.7630 4.7630 4.7630 90.00 90.00 90.00
Element x y z (fractional)
Sr  0.5000  0.5000  0.5000
Tc  0.0000  0.0000  0.0000
Os  0.0000  0.5000  0.0000
Os  0.0000  0.0000  0.5000
Os  0.5000  0.0000  0.0000

B.
The following is a GGA-PBE calculation of a relaxed SrTcOs3 crystal, from Alexandria via LeMat-Bulk.

Computed properties:
Space group: Pm-3m (221)

Lattice parameters (Å, degrees): 4.6883 4.6883 4.6883 90.00 90.00 90.00
Element x y z (fractional)
Sr  0.0000  0.0000  0.0000
Os  0.5000  0.0000  0.0000
Os  0.0000  0.5000  0.0000
Os  0.0000  0.0000  0.5000
Tc  0.5000  0.5000  0.5000

Most stable: A. Least stable: B.

A.
The following is a GGA-PBE calculation of a relaxed SrTeOs crystal, from Alexandria via LeMat-Bulk.

Computed properties:
Space group: Imm2 (44)

Lattice parameters (Å, degrees): 6.4334 6.4334 6.4334 146.53 149.88 45.64
Element x y z (fractional)
Sr  0.3425  0.3425  0.0000
Te  0.6256  0.6256  0.0000
Os  0.0318  0.0318  0.0000

B.
The following is a GGA-PBE calculation of a relaxed SrTeOs crystal, from Alexandria via LeMat-Bulk.

Computed properties:
Space group: P-6m2 (187)

Lattice parameters (Å, degrees): 4.4569 4.4569 4.7043 90.00 90.00 120.00
Element x y z (fractional)
Os  0.0000  0.0000  0.8332
Sr  0.6667  0.3333  0.3334
Te  0.3333  0.6667  0.8334

C.
The following is a GGA-PBE calculation of a relaxed SrTeOs crystal, from Alexandria via LeMat-Bulk.

Computed properties:
Space group: F-43m (216)

Lattice parameters (Å, degrees): 4.7838 4.7838 4.7838 60.00 60.00 60.00
Element x y z (fractional)
Sr  0.0000  0.0000  0.0000
Te  0.5000  0.5000  0.5000
Os  0.7500  0.7500  0.7500

D.
The following is a GGA-PBE calculation of a relaxed SrTeOs crystal, from Alexandria via LeMat-Bulk.

Computed properties:
Space group: F-43m (216)

Lattice parameters (Å, degrees): 5.1519 5.1519 5.1519 60.00 60.00 60.00
Element x y z (fractional)
Sr  0.7500  0.7500  0.7500
Os  0.5000  0.5000  0.5000
Te  0.0000  0.0000  0.0000

Most stable: B. Least stable: D.

A.
The following is a GGA-PBE calculation of a relaxed Sr2TeOs crystal, from Alexandria via LeMat-Bulk.

Computed properties:
Space group: C2/m (12)

Lattice parameters (Å, degrees): 4.4131 4.4131 8.9268 82.67 82.67 43.91
Element x y z (fractional)
Te  0.7500  0.7500  0.7500
Sr  0.5042  0.5042  0.4703
Sr  0.9958  0.9958  0.0297
Os  0.2500  0.2500  0.2500

B.
The following is a GGA-PBE calculation of a relaxed Sr2TeOs crystal, from Alexandria via LeMat-Bulk.

Computed properties:
Space group: I-42d (122)

Lattice parameters (Å, degrees): 8.7927 8.7927 6.9189 50.55 50.55 90.00
Element x y z (fractional)
Sr  0.0628  0.6250  0.2500
Sr  0.3750  0.3128  0.7500
Sr  0.6872  0.1250  0.2500
Sr  0.8750  0.9372  0.7500
Os  0.0000  0.0000  0.0000
Os  0.7500  0.2500  0.5000
Te  0.5000  0.5000  0.0000
Te  0.2500  0.7500  0.5000

C.
The following is a GGA-PBE calculation of a relaxed Sr2TeOs crystal, from Alexandria via LeMat-Bulk.

Computed properties:
Space group: F-43m (216)

Lattice parameters (Å, degrees): 5.2181 5.2181 5.2181 60.00 60.00 60.00
Element x y z (fractional)
Os  0.5000  0.5000  0.5000
Sr  0.0000  0.0000  0.0000
Sr  0.2500  0.2500  0.2500
Te  0.7500  0.7500  0.7500

Most stable: A. Least stable: C.

A.
The following is a GGA-PBE calculation of a relaxed Sr2TeOs crystal, from Alexandria via LeMat-Bulk.

Computed properties:
Space group: R3m (160)

Lattice parameters (Å, degrees): 8.4853 8.4853 8.4853 31.06 31.06 31.06
Element x y z (fractional)
Sr  0.0400  0.0400  0.0400
Sr  0.2099  0.2099  0.2099
Te  0.4579  0.4579  0.4579
Os  0.7922  0.7922  0.7922

B.
The following is a GGA-PBE calculation of a relaxed Sr2TeOs crystal, from Alexandria via LeMat-Bulk.

Computed properties:
Space group: P4mm (99)

Lattice parameters (Å, degrees): 4.6082 4.6088 6.5797 90.00 90.00 90.00
Element x y z (fractional)
Os  0.5000  0.5000  0.8740
Sr  0.0000  0.0000  0.8761
Sr  0.5000  0.5000  0.3738
Te  0.0000  0.0000  0.3761

C.
The following is a GGA-PBE calculation of a relaxed Sr2TeOs crystal, from Alexandria via LeMat-Bulk.

Computed properties:
Space group: Fm-3m (225)

Lattice parameters (Å, degrees): 5.4998 5.4998 5.4998 60.00 60.00 60.00
Element x y z (fractional)
Sr  0.2500  0.2500  0.2500
Sr  0.7500  0.7500  0.7500
Te  0.0000  0.0000  0.0000
Os  0.5000  0.5000  0.5000

D.
The following is a GGA-PBE calculation of a relaxed Sr2TeOs crystal, from Alexandria via LeMat-Bulk.

Computed properties:
Space group: Amm2 (38)

Lattice parameters (Å, degrees): 4.2337 4.8367 6.3470 67.61 90.00 90.00
Element x y z (fractional)
Te  0.0000  0.6867  0.5020
Os  0.5000  0.5535  0.7676
Sr  0.0000  0.9867  0.9012
Sr  0.5000  0.2731  0.3292

Most stable: D. Least stable: B.

A.
The following is a GGA-PBE calculation of a relaxed SrTeOs3 crystal, from Alexandria via LeMat-Bulk.

Computed properties:
Space group: Pm-3m (221)

Lattice parameters (Å, degrees): 4.9022 4.9022 4.9022 90.00 90.00 90.00
Element x y z (fractional)
Os  0.5000  0.0000  0.0000
Os  0.0000  0.5000  0.0000
Os  0.0000  0.0000  0.5000
Sr  0.5000  0.5000  0.5000
Te  0.0000  0.0000  0.0000

B.
The following is a GGA-PBE calculation of a relaxed SrTeOs3 crystal, from Alexandria via LeMat-Bulk.

Computed properties:
Space group: Pm-3m (221)

Lattice parameters (Å, degrees): 4.8811 4.8811 4.8811 90.00 90.00 90.00
Element x y z (fractional)
Os  0.0000  0.5000  0.0000
Os  0.5000  0.0000  0.0000
Os  0.0000  0.0000  0.5000
Te  0.5000  0.5000  0.5000
Sr  0.0000  0.0000  0.0000

Most stable: A. Least stable: B.

A.
The following is a GGA-PBE calculation of a relaxed SrTi2Os crystal, from Alexandria via LeMat-Bulk.

Computed properties:
Space group: Fm-3m (225)

Lattice parameters (Å, degrees): 4.7282 4.7282 4.7282 60.00 60.00 60.00
Element x y z (fractional)
Ti  0.2500  0.2500  0.2500
Ti  0.7500  0.7500  0.7500
Sr  0.0000  0.0000  0.0000
Os  0.5000  0.5000  0.5000

B.
The following is a GGA-PBE calculation of a relaxed SrTi2Os crystal, from Alexandria via LeMat-Bulk.

Computed properties:
Space group: I4_1/amd (141)

Lattice parameters (Å, degrees): 5.0264 5.0264 9.2845 74.29 74.29 90.00
Element x y z (fractional)
Os  0.0000  0.0000  0.0000
Os  0.7500  0.2500  0.5000
Sr  0.2500  0.7500  0.5000
Sr  0.5000  0.5000  0.0000
Ti  0.8758  0.6250  0.2500
Ti  0.3750  0.1258  0.7500
Ti  0.8750  0.1242  0.7500
Ti  0.8742  0.1250  0.2500

Most stable: A. Least stable: B.

A.
The following is a GGA-PBE calculation of a relaxed SrTlOs3 crystal, from Alexandria via LeMat-Bulk.

Computed properties:
Space group: Pm-3m (221)

Lattice parameters (Å, degrees): 5.0103 5.0103 5.0103 90.00 90.00 90.00
Element x y z (fractional)
Tl  0.5000  0.5000  0.5000
Os  0.0000  0.5000  0.0000
Os  0.5000  0.0000  0.0000
Os  0.0000  0.0000  0.5000
Sr  0.0000  0.0000  0.0000

B.
The following is a GGA-PBE calculation of a relaxed SrTlOs3 crystal, from Alexandria via LeMat-Bulk.

Computed properties:
Space group: Pm-3m (221)

Lattice parameters (Å, degrees): 5.0621 5.0621 5.0621 90.00 90.00 90.00
Element x y z (fractional)
Os  0.0000  0.5000  0.0000
Os  0.0000  0.0000  0.5000
Os  0.5000  0.0000  0.0000
Sr  0.5000  0.5000  0.5000
Tl  0.0000  0.0000  0.0000

Most stable: B. Least stable: A.

A.
The following is a GGA-PBE calculation of a relaxed Sr2TlOs crystal, from Alexandria via LeMat-Bulk.

Computed properties:
Space group: R3m (160)

Lattice parameters (Å, degrees): 8.0457 8.0457 8.0457 34.01 34.01 34.01
Element x y z (fractional)
Sr  0.2114  0.2114  0.2114
Sr  0.0384  0.0384  0.0384
Os  0.7922  0.7922  0.7922
Tl  0.4580  0.4580  0.4580

B.
The following is a GGA-PBE calculation of a relaxed Sr2TlOs crystal, from Alexandria via LeMat-Bulk.

Computed properties:
Space group: P2/m (10)

Lattice parameters (Å, degrees): 3.1890 7.3865 6.4367 48.65 90.00 90.00
Element x y z (fractional)
Sr  0.5000  0.5000  0.0000
Sr  0.0000  0.0000  0.0000
Tl  0.5000  0.5000  0.5000
Os  0.0000  0.0000  0.5000

Most stable: A. Least stable: B.